KBeCrO4 | PBE+U | relaxed

Results
Total energy (eV/atom): -6.278

```
data_KBeCrO4
_cell_length_a 4.8809
_cell_length_b 5.3499
_cell_length_c 6.5849
_cell_angle_alpha 90.00
_cell_angle_beta 96.66
_cell_angle_gamma 90.00
_symmetry_space_group_name_H-M 'P 1 21/m 1'
_symmetry_Int_Tables_number 11
_symmetry_space_group_name_Hall '-P 2yb'
loop_
_atom_site_label
_atom_site_type_symbol
_atom_site_fract_x
_atom_site_fract_y
_atom_site_fract_z
K1 K 0.2012 0.2500 0.0693
Be1 Be 0.3711 0.2500 0.6383
Cr1 Cr 0.1700 0.7500 0.4757
O1 O 0.1364 0.0252 0.6565
O2 O 0.3235 0.7500 0.2328
O3 O 0.4760 0.2500 0.4182
```

=====

KBeCr2O8 | PBE+U | relaxed

Results
DOS(E_F) (states/eV/cell): 5.6
Total energy (eV/atom): -6.310

```
data_KBeCr2O8
_cell_length_a 5.2826
_cell_length_b 5.2826
_cell_length_c 7.3751
_cell_angle_alpha 90.00
_cell_angle_beta 90.00
_cell_angle_gamma 120.00
_symmetry_space_group_name_H-M 'P -3'
_symmetry_Int_Tables_number 147
_symmetry_space_group_name_Hall '-P 3'
loop_
_atom_site_label
_atom_site_type_symbol
_atom_site_fract_x
_atom_site_fract_y
_atom_site_fract_z
K1 K 0.0000 0.0000 0.0000
Be1 Be 0.0000 0.0000 0.5000
Cr1 Cr 0.3333 0.6667 0.7176
O1 O 0.1592 0.3207 0.6446
O2 O 0.3333 0.6667 0.9397
```